(1)
Pr4HgO | GGA-PBE | relaxed

```
Pr4HgO
1.0
2.5201 -9.2046 0.0000
2.5201 9.2046 0.0000
0.0000 0.0000 7.0645
Pr Hg O
8 2 2
Direct
0.0005 0.9995 0.5000
0.1883 0.8117 0.9877
0.1896 0.8104 0.5070
0.4028 0.5972 0.7487
0.5972 0.4028 0.2487
0.8104 0.1896 0.0070
0.8117 0.1883 0.4877
0.9995 0.0005 0.0000
0.4024 0.5976 0.2486
0.5976 0.4024 0.7486
0.0972 0.9028 0.2487
0.9028 0.0972 0.7487
```

Properties
Space group ... Cmc2_1, No. 36
ΔE_f (raw) ... -5.9 eV per formula unit
M_tot ... 0.0 μB per formula unit
DOS(E_F) ... 9.060 states/eV/cell
E ... -5.04 eV per atom


(2)
Pr2HgO | GGA-PBE | relaxed

```
Pr2HgO
1.0
7.0889 0.0000 0.0000
0.0000 5.0580 0.0000
0.0000 0.0000 10.5815
Pr Hg O
8 4 4
Direct
0.0715 0.2500 0.2023
0.1449 0.2500 0.5566
0.3551 0.7500 0.0566
0.4285 0.7500 0.7023
0.5715 0.2500 0.2977
0.6449 0.2500 0.9434
0.8551 0.7500 0.4434
0.9285 0.7500 0.7977
0.1685 0.2500 0.8662
0.3315 0.7500 0.3662
0.6685 0.2500 0.6338
0.8315 0.7500 0.1338
0.1050 0.7500 0.6013
0.3950 0.2500 0.1013
0.6050 0.7500 0.8987
0.8950 0.2500 0.3987
```

Properties
Space group ... Pnma, No. 62
ΔE_f (raw) ... -6.1 eV per formula unit
M_tot ... 0.0 μB per formula unit
DOS(E_F) ... 15.035 states/eV/cell
E ... -5.23 eV per atom
Excess energy over the best structure of this formula in the dataset ... 0 meV per atom


(3)
Pr6Hg2O | GGA-PBE | relaxed

```
Pr6Hg2O
1.0
6.1961 -3.6020 0.0000
6.1961 3.6020 0.0000
-4.1125 0.0000 5.8489
Pr Hg O
6 2 1
Direct
0.2101 0.7177 0.7107
0.2443 0.2443 0.8175
0.2823 0.7899 0.2893
0.7177 0.2101 0.7107
0.7557 0.7557 0.1825
0.7899 0.2823 0.2893
0.2516 0.2516 0.2613
0.7484 0.7484 0.7387
0.0000 0.0000 0.5000
```

Properties
Space group ... C2/m, No. 12
ΔE_f (raw) ... -6.8 eV per formula unit
M_tot ... 0.0 μB per formula unit
DOS(E_F) ... 7.901 states/eV/cell
E ... -4.56 eV per atom
Excess energy over the best structure of this formula in the dataset ... 5 meV per atom


(4)
Pr2HgO | GGA-PBE | relaxed

```
Pr2HgO
1.0
3.7888 0.0000 0.0000
-1.8944 3.2812 0.0000
0.0000 0.0000 23.0544
Pr Hg O
6 3 3
Direct
0.0000 0.0000 0.2262
0.0000 0.0000 0.7738
0.3333 0.6667 0.4405
0.3333 0.6667 0.8928
0.6667 0.3333 0.1072
0.6667 0.3333 0.5595
0.0000 0.0000 0.0000
0.3333 0.6667 0.6667
0.6667 0.3333 0.3333
0.0000 0.0000 0.5000
0.3333 0.6667 0.1667
0.6667 0.3333 0.8333
```

Properties
Space group ... R-3m, No. 166
ΔE_f (raw) ... -5.8 eV per formula unit
M_tot ... 0.0 μB per formula unit
DOS(E_F) ... 11.678 states/eV/cell
E ... -5.16 eV per atom
Excess energy over the best structure of this formula in the dataset ... 68 meV per atom